No. 1
Crystalline SbP4Au at its relaxed geometry. Source: Alexandria, functional PBE.

Cell lengths 8.004, 8.004, 8.004 Å; angles 90.00, 90.00, 90.00 degrees
Space group F-43m (No. 216)
Asymmetric unit:
Sb1 0.000 0.000 0.000 x4
P1 0.099 0.099 0.599 x16
Au1 0.250 0.250 0.250 x4

Properties
Its raw formation energy is 596 meV per atom. The magnetic moment is 0.0 μB per formula unit.

=====

No. 2
Crystalline SbPAu2 at its relaxed geometry. Source: Alexandria, functional PBE.

Cell lengths 4.994, 4.994, 14.959 Å; angles 90.00, 90.00, 90.00 degrees
Space group I-42d (No. 122)
Asymmetric unit:
Sb1 0.000 0.000 0.000 x4
P1 0.000 0.000 0.500 x4
Au1 0.166 0.250 0.625 x8

Properties
For the energy above the most stable polymorph in this dataset, the calculation gives 15.2 meV per atom. Its raw formation energy is 109 meV per atom. The magnetic moment is 0.0 μB per formula unit.

=====

No. 3
Crystalline SbPAu2 at its relaxed geometry. Source: Alexandria, functional PBE.

Cell lengths 6.818, 6.818, 6.818 Å; angles 90.00, 90.00, 90.00 degrees
Space group Fm-3m (No. 225)
Asymmetric unit:
Sb1 0.000 0.000 0.000 x4
P1 0.000 0.000 0.500 x4
Au1 0.250 0.250 0.250 x8

Properties
For the energy above the most stable polymorph in this dataset, the calculation gives 276.8 meV per atom. Its raw formation energy is 370 meV per atom. The magnetic moment is 0.0 μB per formula unit.

=====

No. 4
Crystalline SbP2Au at its relaxed geometry. Source: Alexandria, functional PBE.

Cell lengths 3.166, 3.798, 13.832 Å; angles 90.00, 90.00, 90.00 degrees
Space group Imm2 (No. 44)
Asymmetric unit:
Sb1 0.000 0.000 0.000 x2
P1 0.000 0.000 0.642 x2
P2 0.000 0.500 0.251 x2
Au1 0.000 0.500 0.852 x2

Properties
Its raw formation energy is 252 meV per atom. The magnetic moment is 0.0 μB per formula unit.

=====

No. 5
Crystalline SbP2Au at its relaxed geometry. Source: Alexandria, functional PBE.

Cell lengths 3.838, 3.838, 10.730 Å; angles 90.00, 90.00, 90.00 degrees
Space group P4/nmm (No. 129, origin choice 2)
Asymmetric unit:
Sb1 0.250 0.250 0.212 x2
P1 0.250 0.250 0.685 x2
P2 0.250 0.750 0.000 x2
Au1 0.250 0.750 0.500 x2

Properties
Its raw formation energy is 386 meV per atom. The magnetic moment is 0.0 μB per formula unit.

=====

No. 6
Crystalline SbP2Au at its relaxed geometry. Source: Alexandria, functional PBE.

Cell lengths 12.044, 3.235, 4.557 Å; angles 90.00, 104.49, 90.00 degrees
Space group Cm (No. 8)
Asymmetric unit:
Sb1 0.000 0.000 0.000 x2
P1 0.190 0.500 0.599 x2
P2 0.214 0.000 0.939 x2
Au1 0.364 0.500 0.414 x2

Properties
Its raw formation energy is 108 meV per atom. The magnetic moment is 0.0 μB per formula unit.

=====

No. 7
Crystalline SbPAu2 at its relaxed geometry. Source: Alexandria, functional PBE.

Cell lengths 3.8197, 3.8197, 19.5458 Å; angles 90.00, 90.00, 120.00 degrees
Space group R3m (No. 160, hexagonal axes)
Asymmetric unit:
Sb1 0.0000 0.0000 0.0000 x3
P1 0.0000 0.0000 0.2491 x3
Au1 0.0000 0.0000 0.5128 x3
Au2 0.0000 0.0000 0.7566 x3

Properties
For the energy above the most stable polymorph in this dataset, the calculation gives 0.0 meV per atom. Its raw formation energy is 94 meV per atom. The magnetic moment is 0.0 μB per formula unit.

=====

No. 8
Crystalline SbPAu2 at its relaxed geometry. Source: Alexandria, functional PBE.

Cell lengths 4.865, 3.788, 4.888 Å; angles 90.00, 112.25, 90.00 degrees
Space group Pm (No. 6)
Asymmetric unit:
Sb1 0.000 0.000 0.000 x1
P1 0.233 0.500 0.765 x1
Au1 0.460 0.000 0.539 x1
Au2 0.726 0.500 0.274 x1

Properties
For the energy above the most stable polymorph in this dataset, the calculation gives 16.5 meV per atom. Its raw formation energy is 110 meV per atom. The magnetic moment is 0.0 μB per formula unit.

=====

No. 9
Crystalline TcSb2PAu at its relaxed geometry. Source: Alexandria, functional PBE.

Cell lengths 5.259, 5.259, 5.202 Å; angles 90.00, 90.00, 90.00 degrees
Space group P4/mmm (No. 123)
Asymmetric unit:
Tc1 0.000 0.000 0.000 x1
Sb1 0.000 0.500 0.500 x2
P1 0.500 0.500 0.000 x1
Au1 0.000 0.000 0.500 x1

Properties
Its raw formation energy is 1454 meV per atom. The magnetic moment is 3.8 μB per formula unit.

=====

No. 10
Crystalline Sc2PAu at its relaxed geometry. Source: Alexandria, functional PBE.

Cell lengths 6.704, 6.704, 6.704 Å; angles 90.00, 90.00, 90.00 degrees
Space group F-43m (No. 216)
Asymmetric unit:
Sc1 0.000 0.000 0.000 x4
Sc2 0.250 0.250 0.250 x4
P1 0.000 0.000 0.500 x4
Au1 0.250 0.250 0.750 x4

Properties
The magnetic moment is 0.4 μB per formula unit. Its formation energy is -0.131 eV/atom.

=====

No. 11
Crystalline Sc2PAu at its relaxed geometry. Source: Alexandria, functional PBE.

Cell lengths 3.8980, 3.8980, 20.8248 Å; angles 90.00, 90.00, 120.00 degrees
Space group R3m (No. 160, hexagonal axes)
Asymmetric unit:
Sc1 0.0000 0.0000 0.0000 x3
Sc2 0.0000 0.0000 0.1958 x3
P1 0.0000 0.0000 0.4706 x3
Au1 0.0000 0.0000 0.7418 x3

Properties
The magnetic moment is 0.4 μB per formula unit. Its formation energy is -0.430 eV/atom.

=====

No. 12
Crystalline ScPAu3 at its relaxed geometry. Source: Alexandria, functional PBE.

Cell lengths 4.728, 4.728, 4.728 Å; angles 90.00, 90.00, 90.00 degrees
Space group Pm-3m (No. 221)
Asymmetric unit:
Sc1 0.000 0.000 0.000 x1
P1 0.500 0.500 0.500 x1
Au1 0.000 0.500 0.500 x3

Properties
For the energy above the most stable polymorph in this dataset, the calculation gives 0.0 meV per atom. The magnetic moment is 0.0 μB per formula unit. Its formation energy is 0.029 eV/atom.